Entry 1:
The following is a meta-GGA SCAN calculation of a PBEsol-optimized structure of Cu2SiTe3, from the Alexandria database.

Cell: 7.1704 12.4820 7.1958 Å, 90.00 109.11 90.00°
Last column: nearest neighbours and their distance in Å.
Space group Cc (No. 9)
Unique sites:
1 Cu 0.0000 0.0848 0.0000 (multiplicity 4)  4 Te 2.53-2.56
2 Cu 0.0127 0.2534 0.5042 (multiplicity 4)  4 Te 2.52-2.54
3 Si 0.0217 0.4148 0.0199 (multiplicity 4)  4 Te 2.52-2.63
4 Te 0.3783 0.0850 0.1328 (multiplicity 4)  2 Cu 2.54-2.56, 2 Si 2.60-2.63
5 Te 0.3849 0.2496 0.6339 (multiplicity 4)  3 Cu 2.52-2.53, 1 Si 2.52
6 Te 0.3938 0.4150 0.1277 (multiplicity 4)  1 Si 2.52, 3 Cu 2.53-2.54

=====

Entry 2:
The following is a meta-GGA SCAN calculation of a PBEsol-optimized structure of Cu2SiTe3, from the Alexandria database.

Cell: 4.2117 12.4027 5.8313 Å, 90.00 90.00 90.00°
Last column: nearest neighbours and their distance in Å.
Space group Imm2 (No. 44)
Unique sites:
1 Cu 0.0000 0.1663 0.0000 (multiplicity 4)  4 Te 2.52-2.54
2 Si 0.0000 0.5000 0.9742 (multiplicity 2)  4 Te 2.52-2.63
3 Te 0.0000 0.0000 0.7458 (multiplicity 2)  2 Cu 2.54, 2 Si 2.63
4 Te 0.0000 0.3296 0.7375 (multiplicity 4)  3 Cu 2.52-2.54, 1 Si 2.52

=====

Entry 3:
The following is a meta-GGA SCAN calculation of a PBEsol-optimized structure of Th2CuSi3, from the Alexandria database.

Cell: 4.1161 4.1161 8.0358 Å, 90.00 90.00 120.00°
Last column: nearest neighbours and their distance in Å.
Space group P-6m2 (No. 187)
Unique sites:
1 Th 0.0000 0.0000 0.2462 (multiplicity 2)  9 Si 3.09-3.13, 3 Cu 3.13
2 Cu 0.6667 0.3333 0.5000 (multiplicity 1)  3 Si 2.38
3 Si 0.3333 0.6667 0.0000 (multiplicity 1)  3 Si 2.38
4 Si 0.3333 0.6667 0.5000 (multiplicity 1)  3 Cu 2.38
5 Si 0.6667 0.3333 0.0000 (multiplicity 1)  3 Si 2.38

=====

For the records above, the corresponding energy relative to the elements, uncorrected values read -0.073; -0.070; -0.641 eV per atom.
For the records above, the corresponding volume values read 25.36; 25.38; 19.65 A^3/atom.